(1)
Here is a relaxed TaTlSe2 crystal from Alexandria. Energies are from PBE-GGA.

Cell lengths 4.958, 4.958, 4.958 Å; angles 60.00, 60.00, 60.00 degrees
Fractional coordinates of all 4 atoms:
Se1 0.000 0.000 0.000
Se2 0.250 0.250 0.250
Ta1 0.500 0.500 0.500
Tl1 0.750 0.750 0.750

Summary:
The raw total energy is -4.59 eV/atom. The calculation puts the uncorrected formation energy at 712 meV/atom.

(2)
Here is a relaxed TaTl4Se4 crystal from Alexandria. Energies are from PBE-GGA.

Cell lengths 6.604, 9.509, 9.509 Å; angles 90.00, 90.00, 90.00 degrees
Fractional coordinates of all 18 atoms:
Ta1 0.000 0.000 0.000
Ta2 0.500 0.500 0.500
Tl1 0.318 0.292 0.000
Tl2 0.818 0.500 0.792
Tl3 0.318 0.708 0.000
Tl4 0.182 0.208 0.500
Tl5 0.682 0.000 0.708
Tl6 0.182 0.792 0.500
Tl7 0.818 0.500 0.208
Tl8 0.682 0.000 0.292
Se1 0.707 0.714 0.500
Se2 0.707 0.286 0.500
Se3 0.207 0.000 0.786
Se4 0.793 0.214 0.000
Se5 0.793 0.786 0.000
Se6 0.293 0.500 0.286
Se7 0.293 0.500 0.714
Se8 0.207 0.000 0.214

Summary:
The raw total energy is -4.35 eV/atom. The calculation puts the uncorrected formation energy at -430 meV/atom.

(3)
Here is a relaxed TaTlSe2 crystal from Alexandria. Energies are from PBE-GGA.

Cell lengths 18.826, 7.230, 7.230 Å; angles 90.33, 105.06, 74.94 degrees
Fractional coordinates of all 32 atoms:
Tl1 0.418 0.407 0.244
Tl2 0.082 0.744 0.907
Tl3 0.582 0.593 0.756
Tl4 0.918 0.256 0.093
Tl5 0.374 0.935 0.082
Tl6 0.126 0.582 0.435
Tl7 0.626 0.065 0.918
Tl8 0.874 0.418 0.565
Se1 0.919 0.874 0.598
Se2 0.581 0.098 0.374
Se3 0.081 0.126 0.402
Se4 0.419 0.902 0.626
Se5 0.752 0.241 0.210
Se6 0.748 0.710 0.741
Se7 0.248 0.759 0.790
Se8 0.252 0.290 0.259
Se9 0.558 0.608 0.214
Se10 0.942 0.714 0.108
Se11 0.442 0.392 0.786
Se12 0.058 0.286 0.892
Se13 0.750 0.250 0.750
Se14 0.250 0.750 0.250
Se15 0.750 0.703 0.203
Se16 0.250 0.297 0.797
Ta1 0.166 0.084 0.167
Ta2 0.334 0.667 0.584
Ta3 0.834 0.916 0.833
Ta4 0.666 0.333 0.416
Ta5 0.338 0.254 0.593
Ta6 0.162 0.093 0.754
Ta7 0.662 0.746 0.407
Ta8 0.838 0.907 0.246

Summary:
The raw total energy is -5.61 eV/atom. The calculation puts the uncorrected formation energy at -311 meV/atom.

(4)
Here is a relaxed TaTlSe2 crystal from Alexandria. Energies are from PBE-GGA.

Cell lengths 3.211, 3.211, 8.883 Å; angles 90.00, 90.00, 90.00 degrees
Fractional coordinates of all 4 atoms:
Se1 0.000 0.000 0.981
Se2 0.500 0.500 0.323
Ta1 0.000 0.000 0.475
Tl1 0.500 0.500 0.721

Summary:
The raw total energy is -5.20 eV/atom. The calculation puts the uncorrected formation energy at 94 meV/atom.

Question: Number 4 is which compound?
Answer: TaTlSe2